A geometry-optimized POsSe2Br structure. Source: Alexandria via LeMat-Bulk, functional PBE.

Output
E_form (uncorrected), eV/atom: 1.4360
Space group: P4/mmm, No. 123
ΔE to the lowest computed polymorph, eV per formula unit: 2.44

a = 4.889 Å, b = 4.889 Å, c = 4.814 Å
α = 90.00°, β = 90.00°, γ = 90.00°
Last column: magnetic moment on the atom in μB.
Atoms (fractional coordinates):
1 P 0.000 0.000 0.000  0.01
2 Se 0.000 0.500 0.000  0.10
3 Os 0.500 0.500 0.500  3.18
4 Br 0.000 0.000 0.500  0.11
5 Se 0.500 0.000 0.000  0.10

---

A geometry-optimized POsSeBr2 structure. Source: Alexandria via LeMat-Bulk, functional PBE.

Output
E_form (uncorrected), eV/atom: 0.9732
Space group: P4/mmm, No. 123
ΔE to the lowest computed polymorph, eV per formula unit: 0.00

a = 5.064 Å, b = 5.064 Å, c = 4.727 Å
α = 90.00°, β = 90.00°, γ = 90.00°
Atoms (fractional coordinates):
1 Br 0.000 0.500 0.000
2 P 0.500 0.500 0.500
3 Se 0.000 0.000 0.500
4 Os 0.000 0.000 0.000
5 Br 0.500 0.000 0.000

---

A geometry-optimized POsSeBr2 structure. Source: Alexandria via LeMat-Bulk, functional PBE.

Output
E_form (uncorrected), eV/atom: 1.4149
Space group: P4/mmm, No. 123
ΔE to the lowest computed polymorph, eV per formula unit: 2.21

a = 4.923 Å, b = 4.923 Å, c = 5.099 Å
α = 90.00°, β = 90.00°, γ = 90.00°
Last column: magnetic moment on the atom in μB.
Atoms (fractional coordinates):
1 Br 0.500 0.000 0.000  0.09
2 Br 0.000 0.500 0.000  0.09
3 Se 0.000 0.000 0.500  0.07
4 Os 0.500 0.500 0.500  3.28
5 P 0.000 0.000 0.000  -0.04

---

A geometry-optimized POsSe2Br structure. Source: Alexandria via LeMat-Bulk, functional PBE.

Output
E_form (uncorrected), eV/atom: 0.9488
Space group: P4/mmm, No. 123
ΔE to the lowest computed polymorph, eV per formula unit: 0.00

a = 4.806 Å, b = 4.806 Å, c = 5.065 Å
α = 90.00°, β = 90.00°, γ = 90.00°
Atoms (fractional coordinates):
1 Se 0.500 0.000 0.000
2 P 0.500 0.500 0.500
3 Se 0.000 0.500 0.000
4 Os 0.000 0.000 0.000
5 Br 0.000 0.000 0.500

---

A geometry-optimized Sm8POs3Br4 structure. Source: Alexandria via LeMat-Bulk, functional PBE.

Output
E_form (uncorrected), eV/atom: -0.8590
Space group: R-3m, No. 166

a = 8.268 Å, b = 8.996 Å, c = 8.268 Å
α = 117.37°, β = 120.00°, γ = 90.00°
Atoms (fractional coordinates):
1 Sm 0.764 0.307 0.528
2 Br 0.500 0.000 0.500
3 Os 0.500 0.500 0.500
4 Os 0.000 0.500 0.500
5 Os 0.500 0.500 0.000
6 Br 0.000 0.000 0.500
7 Sm 0.236 0.693 0.957
8 Sm 0.764 0.307 0.043
9 Sm 0.734 0.702 0.468
10 Sm 0.236 0.693 0.472
11 Sm 0.721 0.693 0.957
12 P 0.000 0.500 0.000
13 Sm 0.266 0.298 0.532
14 Br 0.500 0.000 0.000
15 Br 0.000 0.000 0.000
16 Sm 0.279 0.307 0.043

---

A geometry-optimized Zr2POsBr structure. Source: Alexandria via LeMat-Bulk, functional PBE.

Output
E_form (uncorrected), eV/atom: 0.6867
Space group: P4/mmm, No. 123

a = 5.123 Å, b = 4.723 Å, c = 5.123 Å
α = 90.00°, β = 90.00°, γ = 90.00°
Atoms (fractional coordinates):
1 P 0.500 0.500 0.500
2 Zr 0.500 0.000 0.000
3 Zr 0.000 0.000 0.500
4 Br 0.000 0.500 0.000
5 Os 0.000 0.000 0.000

---

A geometry-optimized PaOsBr structure. Source: Alexandria via LeMat-Bulk, functional PBE.

Output
E_form (uncorrected), eV/atom: -0.6831
Space group: R-3m, No. 166

a = 4.110 Å, b = 4.110 Å, c = 11.643 Å
α = 79.83°, β = 79.83°, γ = 60.00°
Atoms (fractional coordinates):
1 Os 0.848 0.848 0.455
2 Pa 0.557 0.557 0.329
3 Pa 0.443 0.443 0.671
4 Os 0.152 0.152 0.545
5 Br 0.719 0.719 0.843
6 Br 0.281 0.281 0.157

---

A geometry-optimized OsPbBr2 structure. Source: Alexandria via LeMat-Bulk, functional PBE.

Output
E_form (uncorrected), eV/atom: 0.6474
Space group: Cmmm, No. 65
ΔE to the lowest computed polymorph, eV per formula unit: 1.51

a = 3.411 Å, b = 3.411 Å, c = 10.607 Å
α = 90.00°, β = 90.00°, γ = 123.49°
Atoms (fractional coordinates):
1 Br 0.000 0.000 0.432
2 Br 0.000 0.000 0.068
3 Os 0.500 0.500 0.250
4 Pb 0.500 0.500 0.750

---

A geometry-optimized OsPbBr2 structure. Source: Alexandria via LeMat-Bulk, functional PBE.

Output
E_form (uncorrected), eV/atom: 0.9007
Space group: Pmmm, No. 47
ΔE to the lowest computed polymorph, eV per formula unit: 2.52

a = 3.295 Å, b = 6.016 Å, c = 4.800 Å
α = 90.00°, β = 90.00°, γ = 90.00°
Last column: magnetic moment on the atom in μB.
Atoms (fractional coordinates):
1 Os 0.500 0.000 0.500  1.43
2 Br 0.000 0.000 0.000  0.04
3 Br 0.500 0.500 0.000  0.02
4 Pb 0.000 0.500 0.500  -0.03

---

A geometry-optimized OsPbBr4 structure. Source: Alexandria via LeMat-Bulk, functional PBE.

Output
E_form (uncorrected), eV/atom: 1.2863
Space group: F-43m, No. 216

a = 6.237 Å, b = 6.237 Å, c = 6.237 Å
α = 60.00°, β = 60.00°, γ = 60.00°
Last column: magnetic moment on the atom in μB.
Atoms (fractional coordinates):
1 Pb 0.000 0.000 0.000  -0.09
2 Os 0.750 0.750 0.750  3.27
3 Br 0.376 0.376 0.873  0.10
4 Br 0.376 0.873 0.376  0.10
5 Br 0.873 0.376 0.376  0.10
6 Br 0.376 0.376 0.376  0.10

---

A geometry-optimized OsPbBr2 structure. Source: Alexandria via LeMat-Bulk, functional PBE.

Output
E_form (uncorrected), eV/atom: 0.6142
Space group: Cm, No. 8
ΔE to the lowest computed polymorph, eV per formula unit: 1.37

a = 7.297 Å, b = 7.297 Å, c = 4.637 Å
α = 71.88°, β = 71.88°, γ = 25.52°
Atoms (fractional coordinates):
1 Br 0.831 0.831 0.667
2 Br 0.011 0.011 0.989
3 Pb 0.169 0.169 0.327
4 Os 0.489 0.489 0.517

---

A geometry-optimized Os2Pb2Br structure. Source: Alexandria via LeMat-Bulk, functional PBE.

Output
E_form (uncorrected), eV/atom: 0.9621
Space group: P4/mbm, No. 127
ΔE to the lowest computed polymorph, eV per formula unit: 0.88

a = 7.868 Å, b = 7.868 Å, c = 3.323 Å
α = 90.00°, β = 90.00°, γ = 90.00°
Atoms (fractional coordinates):
1 Pb 0.155 0.655 0.500
2 Pb 0.845 0.345 0.500
3 Pb 0.345 0.155 0.500
4 Os 0.641 0.141 0.000
5 Br 0.000 0.000 0.000
6 Br 0.500 0.500 0.000
7 Os 0.859 0.641 0.000
8 Os 0.141 0.359 0.000
9 Pb 0.655 0.845 0.500
10 Os 0.359 0.859 0.000

---

A geometry-optimized OsPbBr2 structure. Source: Alexandria via LeMat-Bulk, functional PBE.

Output
E_form (uncorrected), eV/atom: 0.3070
Space group: Pm, No. 6
ΔE to the lowest computed polymorph, eV per formula unit: 0.14

a = 3.360 Å, b = 4.774 Å, c = 7.597 Å
α = 71.62°, β = 90.00°, γ = 90.00°
Atoms (fractional coordinates):
1 Os 0.000 0.276 0.574
2 Br 0.500 0.401 0.323
3 Pb 0.500 0.722 0.680
4 Br 0.000 0.100 0.923

---

A geometry-optimized OsPbBr2 structure. Source: Alexandria via LeMat-Bulk, functional PBE.

Output
E_form (uncorrected), eV/atom: 0.6458
Space group: P4mm, No. 99
ΔE to the lowest computed polymorph, eV per formula unit: 1.50

a = 3.430 Å, b = 3.436 Å, c = 8.438 Å
α = 90.00°, β = 90.00°, γ = 90.00°
Last column: magnetic moment on the atom in μB.
Atoms (fractional coordinates):
1 Os 0.000 0.000 0.464  0.79
2 Pb 0.500 0.500 0.725  0.00
3 Br 0.000 0.000 0.966  0.01
4 Br 0.500 0.500 0.345  0.04

---

A geometry-optimized OsPbBr2 structure. Source: Alexandria via LeMat-Bulk, functional PBE.

Output
E_form (uncorrected), eV/atom: 1.0401
Space group: P4/mmm, No. 123
ΔE to the lowest computed polymorph, eV per formula unit: 3.08

a = 5.021 Å, b = 5.021 Å, c = 3.500 Å
α = 90.00°, β = 90.00°, γ = 90.00°
Atoms (fractional coordinates):
1 Br 0.500 0.500 0.000
2 Os 0.500 0.000 0.500
3 Br 0.000 0.000 0.000
4 Pb 0.000 0.500 0.500

---

A geometry-optimized Os2Pb2Br structure. Source: Alexandria via LeMat-Bulk, functional PBE.

Output
E_form (uncorrected), eV/atom: 0.7855
Space group: I4/mmm, No. 139
ΔE to the lowest computed polymorph, eV per formula unit: 0.00

a = 5.413 Å, b = 5.413 Å, c = 5.628 Å
α = 61.25°, β = 61.25°, γ = 90.00°
Atoms (fractional coordinates):
1 Os 0.363 0.363 0.274
2 Pb 0.250 0.750 0.500
3 Os 0.637 0.637 0.726
4 Br 0.000 0.000 0.000
5 Pb 0.750 0.250 0.500

---

A geometry-optimized Os3PbBr structure. Source: Alexandria via LeMat-Bulk, functional PBE.

Output
E_form (uncorrected), eV/atom: 2.3121
Space group: Pm-3m, No. 221
ΔE to the lowest computed polymorph, eV per formula unit: 0.00

a = 4.660 Å, b = 4.660 Å, c = 4.660 Å
α = 90.00°, β = 90.00°, γ = 90.00°
Atoms (fractional coordinates):
1 Os 0.000 0.000 0.500
2 Os 0.500 0.000 0.000
3 Br 0.000 0.000 0.000
4 Pb 0.500 0.500 0.500
5 Os 0.000 0.500 0.000

---

A geometry-optimized OsPbBr2 structure. Source: Alexandria via LeMat-Bulk, functional PBE.

Output
E_form (uncorrected), eV/atom: 0.6801
Space group: Cmm2, No. 35
ΔE to the lowest computed polymorph, eV per formula unit: 1.64

a = 3.506 Å, b = 3.506 Å, c = 9.179 Å
α = 90.00°, β = 90.00°, γ = 115.53°
Atoms (fractional coordinates):
1 Br 0.000 0.000 0.971
2 Br 0.500 0.500 0.316
3 Pb 0.500 0.500 0.722
4 Os 0.000 0.000 0.492

---

A geometry-optimized OsPbBr2 structure. Source: Alexandria via LeMat-Bulk, functional PBE.

Output
E_form (uncorrected), eV/atom: 0.4035
Space group: I-42d, No. 122
ΔE to the lowest computed polymorph, eV per formula unit: 0.53

a = 8.948 Å, b = 8.948 Å, c = 6.877 Å
α = 49.41°, β = 49.41°, γ = 90.00°
Atoms (fractional coordinates):
1 Br 0.875 0.749 0.750
2 Pb 0.000 0.000 0.000
3 Os 0.500 0.500 0.000
4 Br 0.251 0.625 0.250
5 Br 0.499 0.125 0.250
6 Br 0.375 0.501 0.750
7 Pb 0.750 0.250 0.500
8 Os 0.250 0.750 0.500

---

A geometry-optimized Os3PbBr structure. Source: Alexandria via LeMat-Bulk, functional PBE.

Output
E_form (uncorrected), eV/atom: 3.1738
Space group: Pm-3m, No. 221
ΔE to the lowest computed polymorph, eV per formula unit: 4.31

a = 5.109 Å, b = 5.109 Å, c = 5.109 Å
α = 90.00°, β = 90.00°, γ = 90.00°
Last column: magnetic moment on the atom in μB.
Atoms (fractional coordinates):
1 Os 0.500 0.000 0.000  1.76
2 Br 0.500 0.500 0.500  0.29
3 Pb 0.000 0.000 0.000  -0.09
4 Os 0.000 0.500 0.000  1.99
5 Os 0.000 0.000 0.500  2.00